# 1
A geometry-optimized LiSc2HgH structure. Source: the Alexandria database, functional GGA-PBE.

Total magnetization   0.174 μB per atom
Fermi-level density of states   3.5 states/eV per cell
Uncorrected energy   -3.99 eV/atom

a = 4.643 Å, b = 4.643 Å, c = 3.811 Å
α = 90.00°, β = 90.00°, γ = 90.00°
Space group P4/mmm (No. 123)
Symmetry-distinct sites (fractional):
Li 0.000 0.000 0.000 [1 per cell]
Sc 0.000 0.500 0.500 [2 per cell]
Hg 0.500 0.500 0.000 [1 per cell]
H 0.000 0.000 0.500 [1 per cell]

---

# 2
A geometry-optimized Li2ScHgH structure. Source: the Alexandria database, functional GGA-PBE.

Total magnetization   0.000 μB per atom
Fermi-level density of states   2.9 states/eV per cell
Uncorrected energy   -3.08 eV/atom

a = 4.085 Å, b = 4.085 Å, c = 4.584 Å
α = 90.00°, β = 90.00°, γ = 90.00°
Space group P4/mmm (No. 123)
Symmetry-distinct sites (fractional):
Li 0.000 0.500 0.000 [2 per cell]
Sc 0.000 0.000 0.500 [1 per cell]
Hg 0.500 0.500 0.500 [1 per cell]
H 0.000 0.000 0.000 [1 per cell]